VASP calculation (PBE) on a relaxed structure of Hf5Nb2Ge4.

Values from the calculation:
Space-group type: C2/m
Size of the total moment in μB/f.u.: 0.00
DFT formation energy in eV per formula unit: -0.9
Crystal system: monoclinic

Lattice parameters (Å, degrees): 3.000 7.053 12.976 125.02 96.64 90.00
Fractional coordinates of all 11 atoms:
Hf1 0.500 0.000 0.000
Hf2 0.144 0.242 0.287
Hf3 0.816 0.125 0.632
Hf4 0.856 0.758 0.713
Hf5 0.184 0.875 0.368
Ge1 0.730 0.652 0.461
Ge2 0.927 0.578 0.854
Ge3 0.270 0.348 0.539
Ge4 0.073 0.422 0.146
Nb1 0.050 0.747 0.100
Nb2 0.950 0.253 0.900

***

VASP calculation (PBE) on a relaxed structure of PmAs5.

Values from the calculation:
Space-group type: Cmmm
Size of the total moment in μB/f.u.: 0.00
DFT formation energy in eV per formula unit: -1.7
Crystal system: orthorhombic

Lattice parameters (Å, degrees): 3.901 4.998 7.052 110.75 90.00 90.00
Fractional coordinates of all 6 atoms:
As1 0.000 0.646 0.292
As2 0.000 0.354 0.708
As3 0.500 0.500 0.000
As4 0.500 0.213 0.426
As5 0.500 0.787 0.574
Pm1 0.000 0.000 0.000

***

VASP calculation (PBE) on a relaxed structure of LiCdIr.

Values from the calculation:
Space-group type: I4mm
Size of the total moment in μB/f.u.: 0.00
DFT formation energy in eV per formula unit: 0.2
Energy above the most stable polymorph in this dataset in meV per atom: 95
Crystal system: tetragonal

Lattice parameters (Å, degrees): 6.449 6.449 6.449 154.75 154.75 36.01
Fractional coordinates of all 3 atoms:
Cd1 0.995 0.995 0.000
Li1 0.680 0.680 0.000
Ir1 0.325 0.325 0.000

***

VASP calculation (PBE) on a relaxed structure of Li2Hg.

Values from the calculation:
Space-group type: Cmcm
Size of the total moment in μB/f.u.: 0.00
DFT formation energy in eV per formula unit: -1.0
Crystal system: orthorhombic

Lattice parameters (Å, degrees): 6.586 6.586 4.292 90.00 90.00 145.29
Fractional coordinates of all 6 atoms:
Hg1 0.905 0.095 0.750
Hg2 0.095 0.905 0.250
Li1 0.754 0.246 0.250
Li2 0.246 0.754 0.750
Li3 0.424 0.576 0.250
Li4 0.576 0.424 0.750

***

VASP calculation (PBE) on a relaxed structure of UTe2Rh.

Values from the calculation:
Space-group type: R-3m
Size of the total moment in μB/f.u.: 2.37
Formation energy (no corrections) in eV per atom: 0.18
Crystal system: trigonal

Lattice parameters (Å, degrees): 3.356 3.356 10.128 80.46 80.46 60.00
Fractional coordinates of all 4 atoms:
Te1 0.915 0.915 0.255
Te2 0.085 0.085 0.745
Rh1 0.000 0.000 0.000
U1 0.500 0.500 0.500

***

VASP calculation (PBE) on a relaxed structure of CaFeSeN2.

Values from the calculation:
Space-group type: P4/mmm
Size of the total moment in μB/f.u.: 8.03
Energy above the most stable polymorph in this dataset in meV per atom: 1493
Formation energy (no corrections) in eV per atom: 1.59
Crystal system: tetragonal

Lattice parameters (Å, degrees): 4.395 4.395 5.885 90.00 90.00 90.00
Fractional coordinates of all 5 atoms:
N1 0.500 0.000 0.000
N2 0.000 0.500 0.000
Fe1 0.500 0.500 0.500
Ca1 0.000 0.000 0.000
Se1 0.000 0.000 0.500

***

VASP calculation (PBE) on a relaxed structure of CaBeCl2.

Values from the calculation:
Space-group type: F-43m
Size of the total moment in μB/f.u.: 0.00
Energy above the most stable polymorph in this dataset in meV per atom: 624
Formation energy (no corrections) in eV per atom: -0.43
Crystal system: cubic

Lattice parameters (Å, degrees): 5.055 5.055 5.055 60.00 60.00 60.00
Fractional coordinates of all 4 atoms:
Cl1 0.000 0.000 0.000
Cl2 0.250 0.250 0.250
Ca1 0.750 0.750 0.750
Be1 0.500 0.500 0.500

***

VASP calculation (PBE) on a relaxed structure of NdFe2Si2C.

Values from the calculation:
Space-group type: P4/mmm
Size of the total moment in μB/f.u.: 1.95
Formation energy (no corrections) in eV per atom: -0.37
Crystal system: tetragonal

Lattice parameters (Å, degrees): 3.935 3.935 5.270 90.00 90.00 90.00
Fractional coordinates of all 6 atoms:
Fe1 0.500 0.000 0.000
Fe2 0.000 0.500 0.000
Nd1 0.000 0.000 0.500
Si1 0.500 0.500 0.264
Si2 0.500 0.500 0.736
C1 0.000 0.000 0.000

***

VASP calculation (PBE) on a relaxed structure of SiPCCl2.

Values from the calculation:
Space-group type: P4/mmm
Size of the total moment in μB/f.u.: 0.40
Energy above the most stable polymorph in this dataset in meV per atom: 206
Formation energy (no corrections) in eV per atom: 1.48
Crystal system: tetragonal

Lattice parameters (Å, degrees): 4.567 4.567 4.857 90.00 90.00 90.00
Fractional coordinates of all 5 atoms:
Cl1 0.500 0.000 0.000
Cl2 0.000 0.500 0.000
C1 0.500 0.500 0.500
Si1 0.000 0.000 0.000
P1 0.000 0.000 0.500

***

VASP calculation (PBE) on a relaxed structure of NdCdPd.

Values from the calculation:
Space-group type: I4mm
Size of the total moment in μB/f.u.: 0.00
DFT formation energy in eV per formula unit: -1.6
Crystal system: tetragonal

Lattice parameters (Å, degrees): 3.744 3.744 5.615 109.47 109.47 90.00
Fractional coordinates of all 3 atoms:
Pd1 0.945 0.945 0.890
Cd1 0.298 0.298 0.595
Nd1 0.607 0.607 0.214

***

VASP calculation (PBE) on a relaxed structure of Ca2ZnCuSi.

Values from the calculation:
Space-group type: P4/mmm
Size of the total moment in μB/f.u.: 0.00
Formation energy (no corrections) in eV per atom: 0.29
Crystal system: tetragonal

Lattice parameters (Å, degrees): 5.510 4.403 5.510 90.00 90.00 90.00
Fractional coordinates of all 5 atoms:
Cu1 0.000 0.500 0.000
Ca1 0.500 0.000 0.000
Ca2 0.000 0.000 0.500
Si1 0.500 0.500 0.500
Zn1 0.000 0.000 0.000

***

VASP calculation (PBE) on a relaxed structure of Y2TlBIr.

Values from the calculation:
Space-group type: P4/mmm
Size of the total moment in μB/f.u.: 0.00
DFT formation energy in eV per formula unit: -2.5
Crystal system: tetragonal

Lattice parameters (Å, degrees): 5.128 5.128 4.052 90.00 90.00 90.00
Fractional coordinates of all 5 atoms:
Y1 0.500 0.000 0.000
Y2 0.000 0.500 0.000
Tl1 0.500 0.500 0.500
Ir1 0.000 0.000 0.500
B1 0.000 0.000 0.000

***

VASP calculation (PBE) on a relaxed structure of LuThMgAu.

Values from the calculation:
Space-group type: F-43m
Size of the total moment in μB/f.u.: 0.48
DFT formation energy in eV per formula unit: -1.0
Crystal system: cubic

Lattice parameters (Å, degrees): 5.236 5.236 5.236 60.00 60.00 60.00
Fractional coordinates of all 4 atoms:
Mg1 0.500 0.500 0.500
Lu1 0.250 0.250 0.250
Au1 0.000 0.000 0.000
Th1 0.750 0.750 0.750

***

VASP calculation (PBE) on a relaxed structure of ErHf2Ti.

Values from the calculation:
Space-group type: R3m
Size of the total moment in μB/f.u.: 0.00
DFT formation energy in eV per formula unit: 0.6
Energy above the most stable polymorph in this dataset in meV per atom: 0
Crystal system: trigonal

Lattice parameters (Å, degrees): 3.195 3.195 10.449 81.21 81.21 60.00
Fractional coordinates of all 4 atoms:
Er1 0.500 0.500 0.500
Hf1 0.257 0.257 0.229
Hf2 0.076 0.076 0.771
Ti1 0.667 0.667 0.000

***

VASP calculation (PBE) on a relaxed structure of MnCd2Pd.

Values from the calculation:
Space-group type: I-42d
Size of the total moment in μB/f.u.: 4.03
DFT formation energy in eV per formula unit: 0.9
Crystal system: tetragonal

Lattice parameters (Å, degrees): 7.527 7.527 6.007 51.21 51.21 90.00
Fractional coordinates of all 8 atoms:
Cd1 0.875 0.881 0.750
Cd2 0.119 0.625 0.250
Cd3 0.631 0.125 0.250
Cd4 0.375 0.369 0.750
Pd1 0.000 0.000 0.000
Pd2 0.750 0.250 0.500
Mn1 0.250 0.750 0.500
Mn2 0.500 0.500 0.000

***

VASP calculation (PBE) on a relaxed structure of Li3Cd6Sn2.

Values from the calculation:
Space-group type: P-1
Size of the total moment in μB/f.u.: 0.00
DFT formation energy in eV per formula unit: -1.3
Crystal system: triclinic

Lattice parameters (Å, degrees): 6.247 10.080 17.216 25.80 102.49 123.41
Fractional coordinates of all 11 atoms:
Li1 0.965 0.892 0.238
Li2 0.035 0.108 0.762
Li3 0.000 0.000 0.000
Sn1 0.238 0.078 0.324
Sn2 0.762 0.922 0.676
Cd1 0.193 0.764 0.720
Cd2 0.381 0.595 0.247
Cd3 0.567 0.085 0.173
Cd4 0.807 0.236 0.280
Cd5 0.619 0.405 0.753
Cd6 0.433 0.915 0.827

***

VASP calculation (PBE) on a relaxed structure of Pm2InGe.

Values from the calculation:
Space-group type: P4/mmm
Size of the total moment in μB/f.u.: 0.00
DFT formation energy in eV per formula unit: -2.2
Crystal system: tetragonal

Lattice parameters (Å, degrees): 3.910 3.910 6.860 90.00 90.00 90.00
Fractional coordinates of all 4 atoms:
Pm1 0.000 0.000 0.226
Pm2 0.000 0.000 0.774
Ge1 0.500 0.500 0.000
In1 0.500 0.500 0.500

***

VASP calculation (PBE) on a relaxed structure of Sm3Dy6Er2Tl.

Values from the calculation:
Space-group type: C2/m
Size of the total moment in μB/f.u.: 0.04
DFT formation energy in eV per formula unit: -0.1
Crystal system: monoclinic

Lattice parameters (Å, degrees): 6.132 6.132 11.628 95.07 95.07 120.01
Fractional coordinates of all 12 atoms:
Er1 0.334 0.666 0.000
Er2 0.666 0.334 0.000
Dy1 0.752 0.752 0.246
Dy2 0.410 0.081 0.244
Dy3 0.081 0.410 0.244
Dy4 0.248 0.248 0.754
Dy5 0.590 0.919 0.756
Dy6 0.919 0.590 0.756
Tl1 0.000 0.000 0.000
Sm1 0.167 0.833 0.500
Sm2 0.833 0.167 0.500
Sm3 0.500 0.500 0.500

***

VASP calculation (PBE) on a relaxed structure of PrNdYTh.

Values from the calculation:
Space-group type: F-43m
Size of the total moment in μB/f.u.: 0.00
DFT formation energy in eV per formula unit: 0.8
Energy above the most stable polymorph in this dataset in meV per atom: 174
Crystal system: cubic

Lattice parameters (Å, degrees): 5.775 5.775 5.775 60.00 60.00 60.00
Fractional coordinates of all 4 atoms:
Pr1 0.250 0.250 0.250
Y1 0.000 0.000 0.000
Nd1 0.750 0.750 0.750
Th1 0.500 0.500 0.500

***

VASP calculation (PBE) on a relaxed structure of Ce2TaAs4Pd3.

Values from the calculation:
Space-group type: P-4m2
Size of the total moment in μB/f.u.: 2.26
DFT formation energy in eV per formula unit: -7.4
Crystal system: tetragonal

Lattice parameters (Å, degrees): 4.397 4.397 10.297 90.00 90.00 90.00
Fractional coordinates of all 10 atoms:
Pd1 0.000 0.000 0.500
Pd2 0.500 0.000 0.876
Pd3 0.000 0.500 0.124
As1 0.500 0.500 0.000
As2 0.000 0.500 0.364
As3 0.500 0.000 0.636
As4 0.000 0.000 0.000
Ce1 0.000 0.500 0.768
Ce2 0.500 0.000 0.232
Ta1 0.500 0.500 0.500